1.
A relaxed SrAlNi crystal. Source: the Open Quantum Materials Database, functional PBE-GGA.

Cell: 6.9051 6.9051 6.9051 Å, 90.00 90.00 90.00°
Closest atoms and distances in Å follow each position.
Fractional coordinates of all 12 atoms:
Sr (0.0000, 0.0000, 0.0000)  4 Al 2.99, 4 Ni 2.99
Sr (0.0000, 0.5000, 0.5000)  4 Al 2.99, 4 Ni 2.99
Sr (0.5000, 0.0000, 0.5000)  4 Al 2.99, 4 Ni 2.99
Sr (0.5000, 0.5000, 0.0000)  4 Al 2.99, 4 Ni 2.99
Al (0.2500, 0.2500, 0.7500)  4 Sr 2.99
Al (0.2500, 0.7500, 0.2500)  4 Sr 2.99
Al (0.7500, 0.2500, 0.2500)  4 Sr 2.99
Al (0.7500, 0.7500, 0.7500)  4 Sr 2.99
Ni (0.2500, 0.2500, 0.2500)  4 Sr 2.99
Ni (0.2500, 0.7500, 0.7500)  4 Sr 2.99
Ni (0.7500, 0.2500, 0.7500)  4 Sr 2.99
Ni (0.7500, 0.7500, 0.2500)  4 Sr 2.99

M_tot ... 0.00 μB per formula unit
Final energy ... -2.83 eV per atom
Symmetry ... No. 216

***

2.
A relaxed TaAl2Ni crystal. Source: the Open Quantum Materials Database, functional PBE-GGA.

Cell: 6.1982 6.1982 6.1982 Å, 90.00 90.00 90.00°
Closest atoms and distances in Å follow each position.
Fractional coordinates of all 16 atoms:
Ta (0.0000, 0.0000, 0.0000)  4 Ni 2.68, 4 Al 2.68
Ta (0.0000, 0.5000, 0.5000)  4 Ni 2.68, 4 Al 2.68
Ta (0.5000, 0.0000, 0.5000)  4 Ni 2.68, 4 Al 2.68
Ta (0.5000, 0.5000, 0.0000)  4 Ni 2.68, 4 Al 2.68
Al (0.0000, 0.0000, 0.5000)  4 Ni 2.68, 4 Al 2.68
Al (0.0000, 0.5000, 0.0000)  4 Ni 2.68, 4 Al 2.68
Al (0.2500, 0.2500, 0.2500)  4 Ta 2.68, 4 Al 2.68
Al (0.2500, 0.7500, 0.7500)  4 Ta 2.68, 4 Al 2.68
Al (0.5000, 0.0000, 0.0000)  4 Ni 2.68, 4 Al 2.68
Al (0.5000, 0.5000, 0.5000)  4 Ni 2.68, 4 Al 2.68
Al (0.7500, 0.2500, 0.7500)  4 Ta 2.68, 4 Al 2.68
Al (0.7500, 0.7500, 0.2500)  4 Ta 2.68, 4 Al 2.68
Ni (0.2500, 0.2500, 0.7500)  4 Ta 2.68, 4 Al 2.68
Ni (0.2500, 0.7500, 0.2500)  4 Ta 2.68, 4 Al 2.68
Ni (0.7500, 0.2500, 0.2500)  4 Ta 2.68, 4 Al 2.68
Ni (0.7500, 0.7500, 0.7500)  4 Ta 2.68, 4 Al 2.68

M_tot ... 0.45 μB per formula unit
Final energy ... -6.27 eV per atom
Symmetry ... No. 216

***

3.
A relaxed TaAl2Ni crystal. Source: the Open Quantum Materials Database, functional PBE-GGA.

Cell: 3.8771 3.8771 7.8576 Å, 90.00 90.00 90.00°
Closest atoms and distances in Å follow each position.
Fractional coordinates of all 8 atoms:
Ta (0.0000, 0.0000, 0.0000)  4 Ni 2.74, 8 Al 2.76
Ta (0.5000, 0.5000, 0.5000)  4 Ni 2.74, 8 Al 2.76
Al (0.0000, 0.5000, 0.2500)  4 Al 2.74, 4 Ta 2.76, 4 Ni 2.76
Al (0.0000, 0.5000, 0.7500)  4 Al 2.74, 4 Ta 2.76, 4 Ni 2.76
Al (0.5000, 0.0000, 0.2500)  4 Al 2.74, 4 Ta 2.76, 4 Ni 2.76
Al (0.5000, 0.0000, 0.7500)  4 Al 2.74, 4 Ta 2.76, 4 Ni 2.76
Ni (0.0000, 0.0000, 0.5000)  4 Ta 2.74, 8 Al 2.76
Ni (0.5000, 0.5000, 0.0000)  4 Ta 2.74, 8 Al 2.76

M_tot ... 0.01 μB per formula unit
Final energy ... -6.34 eV per atom
Symmetry ... No. 139

***

4.
A relaxed Ta2AlNi crystal. Source: the Open Quantum Materials Database, functional PBE-GGA.

Cell: 6.3318 6.3318 6.3318 Å, 90.00 90.00 90.00°
Closest atoms and distances in Å follow each position.
Fractional coordinates of all 16 atoms:
Ta (0.0000, 0.0000, 0.0000)  4 Ni 2.74, 4 Ta 2.74
Ta (0.0000, 0.5000, 0.5000)  4 Ni 2.74, 4 Ta 2.74
Ta (0.2500, 0.2500, 0.2500)  4 Ta 2.74, 4 Al 2.74
Ta (0.2500, 0.7500, 0.7500)  4 Ta 2.74, 4 Al 2.74
Ta (0.5000, 0.0000, 0.5000)  4 Ni 2.74, 4 Ta 2.74
Ta (0.5000, 0.5000, 0.0000)  4 Ni 2.74, 4 Ta 2.74
Ta (0.7500, 0.2500, 0.7500)  4 Ta 2.74, 4 Al 2.74
Ta (0.7500, 0.7500, 0.2500)  4 Ta 2.74, 4 Al 2.74
Al (0.0000, 0.0000, 0.5000)  4 Ta 2.74, 4 Ni 2.74
Al (0.0000, 0.5000, 0.0000)  4 Ta 2.74, 4 Ni 2.74
Al (0.5000, 0.0000, 0.0000)  4 Ta 2.74, 4 Ni 2.74
Al (0.5000, 0.5000, 0.5000)  4 Ta 2.74, 4 Ni 2.74
Ni (0.2500, 0.2500, 0.7500)  4 Ta 2.74, 4 Al 2.74
Ni (0.2500, 0.7500, 0.2500)  4 Ta 2.74, 4 Al 2.74
Ni (0.7500, 0.2500, 0.2500)  4 Ta 2.74, 4 Al 2.74
Ni (0.7500, 0.7500, 0.7500)  4 Ta 2.74, 4 Al 2.74

M_tot ... 0.68 μB per formula unit
Final energy ... -8.13 eV per atom
Symmetry ... No. 216

***

5.
A relaxed YTaAlNi crystal. Source: the Open Quantum Materials Database, functional PBE-GGA.

Cell: 6.6214 6.6214 6.6214 Å, 90.00 90.00 90.00°
Closest atoms and distances in Å follow each position.
Fractional coordinates of all 16 atoms:
Y (0.0000, 0.0000, 0.0000)  4 Ta 2.87, 4 Ni 2.87
Y (0.0000, 0.5000, 0.5000)  4 Ta 2.87, 4 Ni 2.87
Y (0.5000, 0.0000, 0.5000)  4 Ta 2.87, 4 Ni 2.87
Y (0.5000, 0.5000, 0.0000)  4 Ta 2.87, 4 Ni 2.87
Ta (0.2500, 0.2500, 0.2500)  4 Al 2.87, 4 Y 2.87
Ta (0.2500, 0.7500, 0.7500)  4 Al 2.87, 4 Y 2.87
Ta (0.7500, 0.2500, 0.7500)  4 Al 2.87, 4 Y 2.87
Ta (0.7500, 0.7500, 0.2500)  4 Al 2.87, 4 Y 2.87
Al (0.0000, 0.0000, 0.5000)  4 Ta 2.87, 4 Ni 2.87
Al (0.0000, 0.5000, 0.0000)  4 Ta 2.87, 4 Ni 2.87
Al (0.5000, 0.0000, 0.0000)  4 Ta 2.87, 4 Ni 2.87
Al (0.5000, 0.5000, 0.5000)  4 Ta 2.87, 4 Ni 2.87
Ni (0.2500, 0.2500, 0.7500)  4 Al 2.87, 4 Y 2.87
Ni (0.2500, 0.7500, 0.2500)  4 Al 2.87, 4 Y 2.87
Ni (0.7500, 0.2500, 0.2500)  4 Al 2.87, 4 Y 2.87
Ni (0.7500, 0.7500, 0.7500)  4 Al 2.87, 4 Y 2.87

M_tot ... 2.90 μB per formula unit
Final energy ... -6.65 eV per atom
Symmetry ... No. 216

***

6.
A relaxed Tb3Al5Ni crystal. Source: the Open Quantum Materials Database, functional PBE-GGA.

Cell: 6.9806 6.9806 4.3194 Å, 90.00 90.00 120.00°
Closest atoms and distances in Å follow each position.
Fractional coordinates of all 9 atoms:
Tb (0.0000, 0.5971, 0.0000)  1 Ni 2.81, 4 Al 3.03
Tb (0.4029, 0.4029, 0.0000)  1 Ni 2.81, 4 Al 3.03
Tb (0.5971, 0.0000, 0.0000)  1 Ni 2.81, 4 Al 3.03
Al (0.0000, 0.2297, 0.5000)  2 Ni 2.69, 4 Al 2.76-2.78
Al (0.2297, 0.0000, 0.5000)  2 Ni 2.69, 4 Al 2.76-2.78
Al (0.3333, 0.6667, 0.5000)  3 Al 2.76, 6 Tb 3.03
Al (0.6667, 0.3333, 0.5000)  3 Al 2.76, 6 Tb 3.03
Al (0.7703, 0.7703, 0.5000)  2 Ni 2.69, 4 Al 2.76-2.78
Ni (0.0000, 0.0000, 0.0000)  6 Al 2.69, 3 Tb 2.81

M_tot ... 0.00 μB per formula unit
Final energy ... -4.80 eV per atom
Symmetry ... No. 189

***

7.
A relaxed TbAl3Ni2 crystal. Source: the Open Quantum Materials Database, functional PBE-GGA.

Cell: 9.0059 9.0059 4.0746 Å, 90.00 90.00 120.00°
Closest atoms and distances in Å follow each position.
Fractional coordinates of all 18 atoms:
Tb (0.0000, 0.0000, 0.0000)  6 Ni 2.83
Tb (0.3333, 0.6667, 0.5000)  6 Ni 3.12, 12 Al 3.17-3.30
Tb (0.6667, 0.3333, 0.5000)  6 Ni 3.12, 12 Al 3.17-3.30
Al (0.0000, 0.2979, 0.5000)  4 Ni 2.49, 4 Al 2.68-2.73
Al (0.0000, 0.5000, 0.0000)  4 Ni 2.49, 4 Al 2.73
Al (0.0000, 0.7021, 0.5000)  4 Ni 2.49, 4 Al 2.68-2.73
Al (0.2979, 0.0000, 0.5000)  4 Ni 2.49, 4 Al 2.68-2.73
Al (0.2979, 0.2979, 0.5000)  4 Ni 2.49, 4 Al 2.68-2.73
Al (0.5000, 0.0000, 0.0000)  4 Ni 2.49, 4 Al 2.73
Al (0.5000, 0.5000, 0.0000)  4 Ni 2.49, 4 Al 2.73
Al (0.7021, 0.0000, 0.5000)  4 Ni 2.49, 4 Al 2.68-2.73
Al (0.7021, 0.7021, 0.5000)  4 Ni 2.49, 4 Al 2.68-2.73
Ni (0.1817, 0.3634, 0.0000)  6 Al 2.49
Ni (0.1817, 0.8183, 0.0000)  6 Al 2.49
Ni (0.3634, 0.1817, 0.0000)  6 Al 2.49
Ni (0.6366, 0.8183, 0.0000)  6 Al 2.49
Ni (0.8183, 0.1817, 0.0000)  6 Al 2.49
Ni (0.8183, 0.6366, 0.0000)  6 Al 2.49

M_tot ... 0.00 μB per formula unit
Final energy ... -5.16 eV per atom
Symmetry ... No. 191

***

8.
A relaxed TbAlNi crystal. Source: the Open Quantum Materials Database, functional PBE-GGA.

Cell: 6.9316 6.9316 3.9421 Å, 90.00 90.00 120.00°
Closest atoms and distances in Å follow each position.
Fractional coordinates of all 9 atoms:
Tb (0.0000, 0.5818, 0.0000)  5 Ni 2.87-2.90, 6 Al 3.12-3.20
Tb (0.4182, 0.4182, 0.0000)  5 Ni 2.87-2.90, 6 Al 3.12-3.20
Tb (0.5818, 0.0000, 0.0000)  5 Ni 2.87-2.90, 6 Al 3.12-3.20
Al (0.0000, 0.2327, 0.5000)  4 Ni 2.55-2.73, 2 Al 2.79
Al (0.2327, 0.0000, 0.5000)  4 Ni 2.55-2.73, 2 Al 2.79
Al (0.7673, 0.7673, 0.5000)  4 Ni 2.55-2.73, 2 Al 2.79
Ni (0.0000, 0.0000, 0.0000)  6 Al 2.55
Ni (0.3333, 0.6667, 0.5000)  3 Al 2.73, 6 Tb 2.87
Ni (0.6667, 0.3333, 0.5000)  3 Al 2.73, 6 Tb 2.87

M_tot ... 0.01 μB per formula unit
Final energy ... -5.25 eV per atom
Symmetry ... No. 189

***

9.
A relaxed TbAl3Ni2 crystal. Source: the Open Quantum Materials Database, functional PBE-GGA.

Cell: 5.2559 5.2559 3.9978 Å, 90.00 90.00 120.00°
Closest atoms and distances in Å follow each position.
Fractional coordinates of all 6 atoms:
Tb (0.0000, 0.0000, 0.0000)  6 Ni 3.03, 12 Al 3.30
Al (0.0000, 0.5000, 0.5000)  4 Ni 2.51, 4 Al 2.63
Al (0.5000, 0.0000, 0.5000)  4 Ni 2.51, 4 Al 2.63
Al (0.5000, 0.5000, 0.5000)  4 Ni 2.51, 4 Al 2.63
Ni (0.3333, 0.6667, 0.0000)  6 Al 2.51
Ni (0.6667, 0.3333, 0.0000)  6 Al 2.51

M_tot ... 0.00 μB per formula unit
Final energy ... -5.14 eV per atom
Symmetry ... No. 191

***

10.
A relaxed TbTmAl2Ni4 crystal. Source: the Open Quantum Materials Database, functional PBE-GGA.

Cell: 4.1326 4.1326 8.8422 Å, 90.00 90.00 120.00°
Closest atoms and distances in Å follow each position.
Fractional coordinates of all 8 atoms:
Tb (0.0000, 0.0000, 0.0000)  8 Ni 2.82-2.92
Tm (0.6667, 0.3333, 0.5000)  8 Ni 2.74-2.87
Al (0.3333, 0.6667, 0.2546)  6 Ni 2.45
Al (0.3333, 0.6667, 0.7454)  6 Ni 2.45
Ni (0.0000, 0.0000, 0.3189)  3 Al 2.45, 3 Ni 2.64
Ni (0.0000, 0.0000, 0.6811)  3 Al 2.45, 3 Ni 2.64
Ni (0.6667, 0.3333, 0.1902)  3 Al 2.45, 3 Ni 2.64, 1 Tm 2.74
Ni (0.6667, 0.3333, 0.8098)  3 Al 2.45, 3 Ni 2.64, 1 Tm 2.74

M_tot ... 0.00 μB per formula unit
Final energy ... -5.45 eV per atom
Symmetry ... No. 187

***

11.
A relaxed TbTm2Al3Ni3 crystal. Source: the Open Quantum Materials Database, functional PBE-GGA.

Cell: 3.8171 6.9739 6.9739 Å, 119.87 90.00 90.00°
Closest atoms and distances in Å follow each position.
Fractional coordinates of all 9 atoms:
Tb (0.0000, 0.0000, 0.0000)  5 Ni 2.85-2.94, 6 Al 3.08-3.19
Tm (0.0000, 0.1640, 0.5809)  5 Ni 2.82-2.90, 4 Al 3.07-3.16
Tm (0.0000, 0.5809, 0.1640)  5 Ni 2.82-2.90, 4 Al 3.07-3.16
Al (0.5000, 0.3467, 0.3467)  4 Ni 2.51-2.76
Al (0.5000, 0.5785, 0.8172)  4 Ni 2.53-2.75
Al (0.5000, 0.8172, 0.5785)  4 Ni 2.53-2.75
Ni (0.0000, 0.5792, 0.5792)  6 Al 2.51-2.53
Ni (0.5000, 0.2510, 0.9126)  3 Al 2.68-2.76, 4 Tm 2.82-2.83, 2 Tb 2.85
Ni (0.5000, 0.9126, 0.2510)  3 Al 2.68-2.76, 4 Tm 2.82-2.83, 2 Tb 2.85

M_tot ... 0.00 μB per formula unit
Final energy ... -5.23 eV per atom
Symmetry ... No. 38

***

12.
A relaxed TbY2Al3Ni3 crystal. Source: the Open Quantum Materials Database, functional PBE-GGA.

Cell: 3.8147 7.0407 7.0407 Å, 119.73 90.00 90.00°
Closest atoms and distances in Å follow each position.
Fractional coordinates of all 9 atoms:
Tb (0.0000, 0.0000, 0.0000)  5 Ni 2.83-2.94, 2 Al 3.11
Y (0.0000, 0.4169, 0.8333)  5 Ni 2.86-2.94, 6 Al 3.10-3.18
Y (0.0000, 0.8333, 0.4169)  5 Ni 2.86-2.94, 6 Al 3.10-3.18
Al (0.5000, 0.1809, 0.4179)  4 Ni 2.53-2.76
Al (0.5000, 0.4179, 0.1809)  4 Ni 2.53-2.76
Al (0.5000, 0.6522, 0.6522)  4 Ni 2.54-2.75
Ni (0.0000, 0.4158, 0.4158)  6 Al 2.53-2.54
Ni (0.5000, 0.0830, 0.7522)  3 Al 2.75-2.76, 2 Tb 2.83, 4 Y 2.86
Ni (0.5000, 0.7522, 0.0830)  3 Al 2.75-2.76, 2 Tb 2.83, 4 Y 2.86

M_tot ... 0.01 μB per formula unit
Final energy ... -5.66 eV per atom
Symmetry ... No. 38